Record 1
The following is a PBE-GGA calculation of an optimized crystal structure of Cs4NdAg3Br12, from Alexandria via LeMat-Bulk.

a b c (Å): 9.7678 9.7678 9.7678
angles (deg): 109.47 109.47 109.47
Sites, in units of the cell vectors:
Cs  0.0000  0.0000  0.5000
Cs  0.0000  0.5000  0.0000
Cs  0.5000  0.0000  0.0000
Cs  0.5000  0.5000  0.5000
Nd  0.0000  0.0000  0.0000
Ag  0.0000  0.5000  0.5000
Ag  0.5000  0.0000  0.5000
Ag  0.5000  0.5000  0.0000
Br  0.0000  0.2527  0.2527
Br  0.0000  0.7473  0.7473
Br  0.2500  0.5000  0.7500
Br  0.2500  0.7500  0.5000
Br  0.2527  0.0000  0.2527
Br  0.2527  0.2527  0.0000
Br  0.5000  0.2500  0.7500
Br  0.5000  0.7500  0.2500
Br  0.7473  0.0000  0.7473
Br  0.7473  0.7473  0.0000
Br  0.7500  0.2500  0.5000
Br  0.7500  0.5000  0.2500

Computed properties:
Symmetry: No. 229
Size of the total moment: 0.00 Bohr magnetons per cell
Calculated density: 4.5 g/cm3

=====

Record 2
The following is a PBE-GGA calculation of an optimized crystal structure of Cs3NdAg2Br8, from Alexandria via LeMat-Bulk.

a b c (Å): 8.0615 8.0615 10.6252
angles (deg): 90.00 90.00 120.00
Sites, in units of the cell vectors:
Cs  0.0000  0.0000  0.0000
Cs  0.3333  0.6667  0.6298
Cs  0.6667  0.3333  0.3702
Nd  0.0000  0.0000  0.5000
Ag  0.3333  0.6667  0.1913
Ag  0.6667  0.3333  0.8087
Br  0.1659  0.3318  0.3379
Br  0.1659  0.8341  0.3379
Br  0.3318  0.1659  0.6621
Br  0.3333  0.6667  0.9532
Br  0.6667  0.3333  0.0468
Br  0.6682  0.8341  0.3379
Br  0.8341  0.1659  0.6621
Br  0.8341  0.6682  0.6621

Computed properties:
Symmetry: No. 164
Size of the total moment: 0.00 Bohr magnetons per cell
Calculated density: 3.9 g/cm3

=====

Number 1: E_form (uncorrected) -1.21 eV per atom. Number 2: E_form (uncorrected) -1.38 eV per atom.